Computed, not measured: a geometry-optimized YTc2Sn structure at the PBE-GGA level of DFT.

Structure (POSCAR):
```
YTc2Sn
1.0
-6.6732 2.0657 -2.9368
-3.5057 -2.4090 6.2714
-4.7853 2.5259 2.8735
Tc Sn Y
4 2 2
Direct
0.6557 0.1250 0.2500 Tc
0.0943 0.6250 0.2500 Tc
0.8750 0.9057 0.7500 Tc
0.3750 0.3443 0.7500 Tc
0.0000 0.0000 0.0000 Sn
0.7500 0.2500 0.5000 Sn
0.2500 0.7500 0.5000 Y
0.5000 0.5000 0.0000 Y
```

Summary:
Total moment, μB per formula unit: 2.4
E, eV per formula unit: -28.46
Crystal system: tetragonal